Mn2GeB | the Alexandria database | PBE-GGA | relaxed; symmetry = Fm-3m; ΔH_f (0 K) = 279.6 meV per atom; DOS(E_F) = 0.57 states/eV/atom; size of the total moment = 2.4 μB/f.u.
1.0
0.000 2.758 2.758
2.758 0.000 2.758
2.758 2.758 0.000
Ge Mn B
1 2 1
Cartesian
2.758 2.758 2.758 Ge
1.379 1.379 1.379 Mn
4.137 4.137 4.137 Mn
0.000 0.000 0.000 B